(1)
This record from the Alexandria database describes a relaxed structure of YGeN2O. The functional is GGA-PBE.

```
YGeN2O
1.0
4.5184 0.0000 0.0000
0.0000 4.5184 0.0000
0.0000 0.0000 4.3088
Y Ge O N
1 1 1 2
Cartesian
0.0000 0.0000 0.0000
2.2592 2.2592 2.1544
0.0000 0.0000 2.1544
0.0000 2.2592 0.0000
2.2592 0.0000 0.0000
```

Results
The total magnetization comes out at 3.001 μB per cell. The calculation puts the calculated volume at 87.97 Å³ per cell. As for the crystal system: tetragonal. The value obtained for the calculated total energy is -6.091 eV/atom.

(2)
This record from the Alexandria database describes a relaxed structure of YGeNO2. The functional is GGA-PBE.

```
YGeNO2
1.0
4.3482 0.0000 0.0000
0.0000 4.3482 0.0000
0.0000 0.0000 4.5183
Y Ge O N
1 1 2 1
Cartesian
0.0000 0.0000 0.0000
2.1741 2.1741 2.2591
0.0000 2.1741 0.0000
2.1741 0.0000 0.0000
0.0000 0.0000 2.2591
```

Results
The total magnetization comes out at 2.003 μB per cell. The calculation puts the calculated volume at 85.42 Å³ per cell. As for the crystal system: tetragonal. The value obtained for the calculated total energy is -6.304 eV/atom.

(3)
This record from the Alexandria database describes a relaxed structure of YGeN2O. The functional is GGA-PBE.

```
YGeN2O
1.0
3.7878 0.0000 0.0000
0.0000 3.7878 0.0000
0.0000 0.0000 3.9218
Y Ge O N
1 1 1 2
Cartesian
1.8939 1.8939 1.9609
0.0000 0.0000 0.0000
0.0000 0.0000 1.9609
0.0000 1.8939 0.0000
1.8939 0.0000 0.0000
```

Results
The total magnetization comes out at 0.161 μB per cell. The calculation puts the calculated volume at 56.27 Å³ per cell. As for the crystal system: tetragonal. The value obtained for the calculated total energy is -7.312 eV/atom.

(4)
This record from the Alexandria database describes a relaxed structure of YGeNO2. The functional is GGA-PBE.

```
YGeNO2
1.0
3.7916 0.0000 0.0000
0.0000 3.7916 0.0000
0.0000 0.0000 3.8344
Y Ge O N
1 1 2 1
Cartesian
1.8958 1.8958 1.9172
0.0000 0.0000 0.0000
0.0000 1.8958 0.0000
1.8958 0.0000 0.0000
0.0000 0.0000 1.9172
```

Results
The total magnetization comes out at 0.000 μB per cell. The calculation puts the calculated volume at 55.12 Å³ per cell. As for the crystal system: tetragonal. The value obtained for the calculated total energy is -7.466 eV/atom.